No. 1
The following is a GGA-PBE calculation of crystalline MgTiRh3 at its relaxed geometry, from the Alexandria database.

It has space group Pm-3m (No. 221), with a = 4.4170 Å, b = 4.4170 Å, c = 4.4170 Å, α = 90.00°, β = 90.00° and γ = 90.00°. The inequivalent atoms are Mg at (0.0000, 0.0000, 0.0000), Ti at (0.5000, 0.5000, 0.5000) and Rh at (0.0000, 0.0000, 0.5000).

The theoretical density comes out at 7.34 g/cm³. The value obtained for the final energy is -28.150 eV for the cell shown. The distance to the lowest polymorph of the same formula comes out at 472.0 meV/atom. The energy relative to the elements is 3.4 eV/f.u.

No. 2
The following is a GGA-PBE calculation of crystalline Mg2TiRh4 at its relaxed geometry, from the Alexandria database.

It has space group I4/mmm (No. 139), with a = 4.2352 Å, b = 4.2352 Å, c = 12.3830 Å, α = 90.00°, β = 90.00° and γ = 90.00°. The inequivalent atoms are Mg at (0.0000, 0.0000, 0.2448), Ti at (0.0000, 0.0000, 0.5000) and Rh at (0.0000, 0.5000, 0.1142).

The theoretical density comes out at 7.60 g/cm³. The value obtained for the final energy is -86.097 eV for the cell shown. The energy relative to the elements is -2.6 eV/f.u.